Arrangement A

A plane-wave DFT calculation with GGA-PBE was carried out for Y2Zn2F after structural relaxation.

Output
Magnetic moment (μB per atom): 0.183

POSCAR file:
```
Y2Zn2F
1.0
-3.8485 -4.0206 1.2553
3.0868 -1.5353 4.5461
-2.2058 -0.3928 4.9453
Y Zn F
2 2 1
Direct
0.7500 0.2500 0.5000
0.2500 0.7500 0.5000
0.3427 0.3427 0.3147
0.6573 0.6573 0.6853
0.0000 0.0000 0.0000
```

=====

Arrangement B

A plane-wave DFT calculation with GGA-PBE was carried out for Y2Zn2F after structural relaxation.

Output
Magnetic moment (μB per atom): 0.000

POSCAR file:
```
Y2Zn2F
1.0
6.7232 0.0000 0.0000
0.0000 6.7232 0.0000
0.0000 0.0000 4.8277
Y Zn F
4 4 2
Direct
0.3269 0.8269 0.0000
0.8269 0.6731 0.0000
0.6731 0.1731 0.0000
0.1731 0.3269 0.0000
0.1309 0.6309 0.5000
0.6309 0.8691 0.5000
0.8691 0.3691 0.5000
0.3691 0.1309 0.5000
0.0000 0.0000 0.0000
0.5000 0.5000 0.0000
```

=====

Which of them is the most stable? Correct choice: arrangement B.